First-principles (PBE-GGA) data for Pm4RhI5 after structural relaxation, as listed in the Alexandria database.

- Size of the total moment: 0.001 μB per cell
- Formation energy without anion corrections: -1.17 eV/atom
- Total DFT energy (no corrections): -4.581 eV/atom
- V: 369 Å³/cell

POSCAR file:
```
Pm4RhI5
1.0
9.899 -2.094 0.000
9.899 2.094 0.000
-2.038 0.000 8.907
Pm Rh I
4 1 5
direct
0.000 0.000 0.205 Pm
0.000 0.000 0.795 Pm
0.354 0.354 0.923 Pm
0.646 0.646 0.077 Pm
0.500 0.500 0.000 Rh
0.168 0.168 0.347 I
0.176 0.176 0.828 I
0.500 0.500 0.500 I
0.824 0.824 0.172 I
0.832 0.832 0.653 I
```